CsAg3Sb3: relaxed, PBE.

Computed properties:
The uncorrected energy is -133.3 eV/cell. The calculation puts the distance to the lowest polymorph of the same formula at 0 kJ/mol of formula units. The energy relative to the elements, uncorrected is -0.064 eV per atom.

Cell: 7.0119 7.0119 31.3898 Å, 90.00 90.00 120.00°
Space group R-3 (No. 148, hexagonal axes)
Symmetry-distinct sites (fractional):
Cs1 0.0000 0.0000 0.1899 [6 per cell]
Ag1 0.0366 0.7819 0.6871 [18 per cell]
Sb1 0.0429 0.4564 0.7394 [18 per cell]